1.
VASP calculation (PBEsol) on a relaxed In2HgCl crystal.

Values from the calculation:
Crystal system ... orthorhombic
Raw formation energy ... -27.6 kJ/mol of atoms
Energy relative to the lowest polymorph listed for this composition ... 0.074 eV per atom

Lattice parameters (Å, degrees): 3.503 5.163 10.845 90.00 90.00 90.00
Space group Imm2 (No. 44)
Unique sites:
In 0.000 0.000 0.000 [2 per cell]
In 0.000 0.500 0.247 [2 per cell]
Hg 0.000 0.000 0.507 [2 per cell]
Cl 0.000 0.500 0.741 [2 per cell]

=====

2.
VASP calculation (PBEsol) on a relaxed SrCu2Ir crystal.

Values from the calculation:
Crystal system ... trigonal
ΔH_f (0 K) ... -0.027 eV per atom
Energy relative to the lowest polymorph listed for this composition ... 0.000 eV per atom

Lattice parameters (Å, degrees): 4.2298 4.2298 15.1211 90.00 90.00 120.00
Space group R-3m (No. 166, hexagonal axes)
Unique sites:
Sr 0.0000 0.0000 0.0000 [3 per cell]
Cu 0.0000 0.0000 0.1909 [6 per cell]
Ir 0.0000 0.0000 0.5000 [3 per cell]

=====

3.
VASP calculation (PBEsol) on a relaxed BaB2F8 crystal.

Values from the calculation:
Crystal system ... monoclinic
Raw formation energy ... -315.0 kJ/mol of atoms

Lattice parameters (Å, degrees): 12.525 5.007 4.758 90.00 111.97 90.00
Space group C2/m (No. 12)
Unique sites:
Ba 0.000 0.000 0.000 [2 per cell]
B 0.151 0.500 0.711 [4 per cell]
F 0.100 0.500 0.933 [4 per cell]
F 0.114 0.269 0.533 [8 per cell]
F 0.229 0.000 0.148 [4 per cell]

=====

Number 1: density of states at the Fermi level 0.312 states/eV per atom. Number 2: density of states at the Fermi level 0.515 states/eV per atom. Number 3: density of states at the Fermi level 0.000 states/eV per atom.